BaSrZn2Ga | PBE-GGA | relaxed

The total magnetization is 0.00 μB per cell. Its energy relative to the elements is 4.3 eV per formula unit. As for the space-group type: P4/mmm.

Unit cell a=5.8766 b=7.1900 c=5.8766 alpha=90.00 beta=90.00 gamma=90.00
Element x y z (fractional)
Zn (0.0000, 0.0000, 0.5000)
Zn (0.5000, 0.0000, 0.0000)
Sr (0.0000, 0.5000, 0.0000)
Ba (0.0000, 0.0000, 0.0000)
Ga (0.5000, 0.5000, 0.5000)